[1]
The following is a PBE calculation of an optimized crystal structure of TbLuGaFe, from the Alexandria database.

Calculated values
For the theoretical density, the calculation gives 9.23 Mg/m³.

Cell lengths 4.8889, 4.8889, 4.8889 Å; angles 60.00, 60.00, 60.00 degrees
With the nearest neighbours (Å) after each atom.
Sites, in units of the cell vectors:
1 Tb 0.5000 0.5000 0.5000  4 Fe 2.99, 4 Ga 2.99
2 Fe 0.7500 0.7500 0.7500  4 Lu 2.99, 4 Tb 2.99
3 Ga 0.2500 0.2500 0.2500  4 Tb 2.99, 4 Lu 2.99
4 Lu 0.0000 0.0000 0.0000  4 Ga 2.99, 4 Fe 2.99

[2]
The following is a PBE calculation of an optimized crystal structure of CdGaPdRu, from the Alexandria database.

Calculated values
For the theoretical density, the calculation gives 10.30 Mg/m³.

Cell lengths 4.4619, 4.4619, 4.4619 Å; angles 60.00, 60.00, 60.00 degrees
With the nearest neighbours (Å) after each atom.
Sites, in units of the cell vectors:
1 Cd 0.0000 0.0000 0.0000  4 Ru 2.73, 4 Pd 2.73
2 Ru 0.7500 0.7500 0.7500  4 Cd 2.73, 4 Ga 2.73
3 Ga 0.5000 0.5000 0.5000  4 Ru 2.73, 4 Pd 2.73
4 Pd 0.2500 0.2500 0.2500  4 Cd 2.73, 4 Ga 2.73

no.,energy relative to the elements (eV per atom)
1,-0.197
2,-0.174